{"formula": "Mg3NbCr", "functional": "PBE", "state": "optimized geometry", "lattice_angstrom": [[5.173, 0.000, 0.000], [0.000, 5.173, 0.000], [0.000, 0.000, 5.173]], "species": ["Mg", "Mg", "Mg", "Nb", "Cr"], "fractional_positions": [[0.000, 0.000, 0.500], [0.000, 0.500, 0.000], [0.500, 0.000, 0.000], [0.000, 0.000, 0.000], [0.500, 0.500, 0.500]], "e_above_lowest_polymorph_kj_per_mol_atoms": 72.0, "spacegroup": "No. 221", "final_energy_ev_per_fu": -14.62, "delta_e_f_ev_per_fu": 9.9}